Entry 1:
Below is a relaxed VTc2As crystal, with properties calculated at the PBE level.

Cell: 3.084 4.269 4.269 Å, 90.00 90.00 90.00°
Sites, in units of the cell vectors:
1 Tc 0.000 0.500 0.000
2 Tc 0.000 0.000 0.500
3 As 0.500 0.500 0.500
4 V 0.500 0.000 0.000

Summary:
* ΔH_f (0 K): -0.179 eV/atom

=====

Entry 2:
Below is a relaxed Er2SeBr3 crystal, with properties calculated at the PBE level.

Cell: 4.071 9.065 10.496 Å, 80.39 78.82 77.02°
Sites, in units of the cell vectors:
1 Br 0.946 0.869 0.239
2 Br 0.762 0.871 0.606
3 Br 0.238 0.129 0.394
4 Br 0.054 0.131 0.761
5 Br 0.671 0.686 0.972
6 Br 0.329 0.314 0.028
7 Er 0.604 0.231 0.560
8 Er 0.127 0.576 0.170
9 Er 0.873 0.424 0.830
10 Er 0.396 0.769 0.440
11 Se 0.407 0.521 0.664
12 Se 0.593 0.479 0.336

Summary:
* energy relative to the elements, uncorrected: -10.005 eV per formula unit

=====

Entry 3:
Below is a relaxed K2YBrO2 crystal, with properties calculated at the PBE level.

Cell: 4.480 4.480 6.661 Å, 90.00 90.00 90.00°
Sites, in units of the cell vectors:
1 O 0.000 0.500 0.000
2 O 0.500 0.000 0.000
3 K 0.500 0.500 0.756
4 K 0.500 0.500 0.244
5 Y 0.000 0.000 0.000
6 Br 0.000 0.000 0.500

Summary:
* energy relative to the elements, uncorrected: -13.062 eV per formula unit

=====

Entry 4:
Below is a relaxed VPt crystal, with properties calculated at the PBE level.

Cell: 4.293 4.293 4.999 Å, 90.00 90.00 120.00°
Sites, in units of the cell vectors:
1 Pt 0.333 0.667 0.750
2 Pt 0.667 0.333 0.250
3 V 0.333 0.667 0.250
4 V 0.667 0.333 0.750

Summary:
* ΔH_f (0 K): 0.319 eV/atom

=====

Entry 5:
Below is a relaxed ScB crystal, with properties calculated at the PBE level.

Cell: 5.412 5.412 5.412 Å, 90.00 90.00 90.00°
Sites, in units of the cell vectors:
1 Sc 0.500 0.000 0.500
2 Sc 0.000 0.000 0.000
3 Sc 0.500 0.500 0.000
4 Sc 0.000 0.500 0.500
5 B 0.250 0.750 0.750
6 B 0.750 0.250 0.750
7 B 0.250 0.250 0.250
8 B 0.750 0.750 0.250

Summary:
* ΔH_f (0 K): 0.966 eV/atom

=====

Entry 6:
Below is a relaxed ScTl2PbSe4 crystal, with properties calculated at the PBE level.

Cell: 4.126 7.675 7.475 Å, 71.85 90.00 90.00°
Sites, in units of the cell vectors:
1 Sc 0.000 0.500 0.500
2 Se 0.500 0.705 0.290
3 Se 0.000 0.723 0.728
4 Se 0.000 0.277 0.272
5 Se 0.500 0.295 0.710
6 Tl 0.000 0.000 0.000
7 Tl 0.500 0.000 0.500
8 Pb 0.500 0.500 0.000

Summary:
* energy relative to the elements, uncorrected: -6.457 eV per formula unit

=====

Entry 7:
Below is a relaxed Dy6ErZn crystal, with properties calculated at the PBE level.

Cell: 9.215 8.398 6.235 Å, 47.66 42.32 56.71°
Sites, in units of the cell vectors:
1 Dy 0.043 0.425 0.768
2 Dy 0.425 0.763 0.855
3 Dy 0.575 0.237 0.145
4 Dy 0.957 0.575 0.232
5 Dy 0.763 0.957 0.705
6 Dy 0.237 0.043 0.295
7 Zn 0.000 0.000 0.000
8 Er 0.500 0.500 0.500

Summary:
* ΔH_f (0 K): 0.045 eV/atom

=====

Entry 8:
Below is a relaxed AcHo12Er7 crystal, with properties calculated at the PBE level.

Cell: 8.671 8.671 8.671 Å, 87.41 87.41 87.41°
Sites, in units of the cell vectors:
1 Ho 0.851 0.274 0.724
2 Ho 0.276 0.149 0.726
3 Ho 0.378 0.865 0.505
4 Ho 0.274 0.724 0.851
5 Ho 0.724 0.851 0.274
6 Ho 0.505 0.378 0.865
7 Ho 0.622 0.135 0.495
8 Ho 0.135 0.495 0.622
9 Ho 0.149 0.726 0.276
10 Ho 0.726 0.276 0.149
11 Ho 0.865 0.505 0.378
12 Ho 0.495 0.622 0.135
13 Ac 0.000 0.000 0.000
14 Er 0.393 0.063 0.155
15 Er 0.155 0.393 0.063
16 Er 0.937 0.845 0.607
17 Er 0.845 0.607 0.937
18 Er 0.607 0.937 0.845
19 Er 0.063 0.155 0.393
20 Er 0.500 0.500 0.500

Summary:
* ΔH_f (0 K): 0.242 eV/atom
* energy relative to the lowest polymorph listed for this composition: 0.0 meV per atom

=====

Entry 9:
Below is a relaxed ErNpZn crystal, with properties calculated at the PBE level.

Cell: 5.765 5.765 8.251 Å, 134.38 134.38 52.29°
Sites, in units of the cell vectors:
1 Np 0.926 0.926 0.794
2 Np 0.074 0.074 0.206
3 Zn 0.464 0.464 0.309
4 Zn 0.536 0.536 0.691
5 Er 0.243 0.243 0.781
6 Er 0.757 0.757 0.219

Summary:
* ΔH_f (0 K): 0.209 eV/atom

=====

Entry 10:
Below is a relaxed Cs2SiI crystal, with properties calculated at the PBE level.

Cell: 9.893 9.893 8.924 Å, 56.34 56.34 90.00°
Sites, in units of the cell vectors:
1 I 0.000 0.000 0.000
2 I 0.750 0.250 0.500
3 Si 0.250 0.750 0.500
4 Si 0.500 0.500 0.000
5 Cs 0.622 0.125 0.250
6 Cs 0.875 0.872 0.750
7 Cs 0.128 0.625 0.250
8 Cs 0.375 0.378 0.750

Summary:
* energy relative to the lowest polymorph listed for this composition: 67.3 meV per atom
* energy relative to the elements, uncorrected: -0.695 eV per formula unit

=====

Entry 11:
Below is a relaxed LaBi2Ir crystal, with properties calculated at the PBE level.

Cell: 4.467 4.467 11.764 Å, 79.05 79.05 90.00°
Sites, in units of the cell vectors:
1 Bi 0.652 0.125 0.250
2 Bi 0.098 0.625 0.250
3 Bi 0.375 0.348 0.750
4 Bi 0.875 0.902 0.750
5 La 0.250 0.750 0.500
6 La 0.500 0.500 0.000
7 Ir 0.000 0.000 0.000
8 Ir 0.750 0.250 0.500

Summary:
* ΔH_f (0 K): -0.101 eV/atom

=====

Entry 12:
Below is a relaxed RbInNiBr6 crystal, with properties calculated at the PBE level.

Cell: 6.872 6.873 7.802 Å, 90.01 90.00 60.00°
Sites, in units of the cell vectors:
1 Br 0.983 0.638 0.693
2 Br 0.379 0.638 0.307
3 Br 0.638 0.983 0.307
4 Br 0.379 0.983 0.693
5 Br 0.638 0.379 0.693
6 Br 0.983 0.379 0.307
7 Ni 0.667 0.667 0.500
8 In 0.333 0.333 0.500
9 Rb 0.000 0.000 0.000

Summary:
* energy relative to the elements, uncorrected: -7.727 eV per formula unit